{
  "formula": "PmAg2PbCl8",
  "functional": "PBE-GGA",
  "state": "optimized geometry",
  "lattice": [[6.5119, 0.0000, 0.0000], [0.0000, 8.2236, 0.0000], [-0.6327, 0.0000, 6.6965]],
  "species": ["Pm", "Ag", "Ag", "Pb", "Cl", "Cl", "Cl", "Cl", "Cl", "Cl", "Cl", "Cl"],
  "fractional_positions": [[0.0000, 0.0000, 0.0000], [0.5000, 0.2522, 0.5000], [0.5000, 0.7478, 0.5000], [0.0000, 0.5000, 0.0000], [0.2109, 0.2369, 0.8260], [0.2109, 0.7631, 0.8260], [0.2982, 0.0000, 0.3281], [0.3025, 0.5000, 0.3358], [0.6975, 0.5000, 0.6642], [0.7018, 0.0000, 0.6719], [0.7891, 0.2369, 0.1740], [0.7891, 0.7631, 0.1740]],
  "vol_a3_per_atom": 29.88,
  "magnetic_moment_mub_per_cell": 0.000,
  "dft_energy_ry_per_atom": -0.2640,
  "n_ef_per_ev_atom": 0.5442,
  "e_form_raw_ev_per_atom": -1.181,
  "mass_density_g_cm3": 3.94
}


{
  "formula": "La2TbY6Tm",
  "functional": "PBE-GGA",
  "state": "optimized geometry",
  "lattice": [[4.5435, -7.4882, 0.0000], [4.5435, 7.4882, 0.0000], [-1.9066, 0.0000, 9.7625]],
  "species": ["La", "La", "La", "La", "Tb", "Tb", "Y", "Y", "Y", "Y", "Y", "Y", "Y", "Y", "Y", "Y", "Y", "Y", "Tm", "Tm"],
  "fractional_positions": [[0.1935, 0.2880, 0.0451], [0.2880, 0.1935, 0.5451], [0.7120, 0.8065, 0.4549], [0.8065, 0.7120, 0.9549], [0.0137, 0.9863, 0.2500], [0.9863, 0.0137, 0.7500], [0.0192, 0.5796, 0.1880], [0.1198, 0.7378, 0.5568], [0.2622, 0.8802, 0.9432], [0.2997, 0.5066, 0.3830], [0.4204, 0.9808, 0.3120], [0.4934, 0.7003, 0.1170], [0.5066, 0.2997, 0.8830], [0.5796, 0.0192, 0.6880], [0.7003, 0.4934, 0.6170], [0.7378, 0.1198, 0.0568], [0.8802, 0.2622, 0.4432], [0.9808, 0.4204, 0.8120], [0.4034, 0.5966, 0.7500], [0.5966, 0.4034, 0.2500]],
  "formation_enthalpy_0k_mev_per_atom": 115,
  "vol_a3_per_atom": 33.21,
  "magnetic_moment_mub_per_cell": 0.000,
  "dft_energy_ry_per_atom": -0.4159,
  "n_ef_per_ev_atom": 1.4851,
  "mass_density_g_cm3": 5.69
}


{
  "formula": "Mo2AsH",
  "functional": "PBE-GGA",
  "state": "optimized geometry",
  "lattice": [[5.9479, 0.0000, 0.0000], [0.0000, 5.9479, 0.0000], [0.0000, 0.0000, 5.9479]],
  "species": ["Mo", "Mo", "Mo", "Mo", "Mo", "Mo", "Mo", "Mo", "As", "As", "As", "As", "H", "H", "H", "H"],
  "fractional_positions": [[0.2500, 0.2500, 0.2500], [0.2500, 0.2500, 0.7500], [0.2500, 0.7500, 0.2500], [0.2500, 0.7500, 0.7500], [0.7500, 0.2500, 0.2500], [0.7500, 0.2500, 0.7500], [0.7500, 0.7500, 0.2500], [0.7500, 0.7500, 0.7500], [0.0000, 0.0000, 0.0000], [0.0000, 0.5000, 0.5000], [0.5000, 0.0000, 0.5000], [0.5000, 0.5000, 0.0000], [0.0000, 0.0000, 0.5000], [0.0000, 0.5000, 0.0000], [0.5000, 0.0000, 0.0000], [0.5000, 0.5000, 0.5000]],
  "vol_a3_per_atom": 13.15,
  "magnetic_moment_mub_per_cell": 0.000,
  "dft_energy_ry_per_atom": -0.5058,
  "n_ef_per_ev_atom": 1.0109,
  "mass_density_g_cm3": 8.45
}